Below is Pr2MgSe4 after structural relaxation, with properties calculated at the PBE-GGA level.

Output
Raw formation energy, kJ/mol of atoms: -156
Total moment, μB per cell: 0.0
Distance to the lowest polymorph of the same formula, meV per atom: 49.1

Cell: 4.162 13.596 14.738 Å, 90.00 90.00 90.00°
Sites, in units of the cell vectors:
Mg 0.250 0.894 0.534
Mg 0.250 0.394 0.966
Se 0.250 0.731 0.986
Se 0.750 0.973 0.116
Se 0.250 0.728 0.254
Se 0.750 0.269 0.014
Mg 0.750 0.606 0.034
Pr 0.250 0.621 0.427
Pr 0.750 0.379 0.573
Se 0.750 0.998 0.615
Se 0.250 0.027 0.884
Se 0.750 0.498 0.885
Se 0.250 0.502 0.115
Se 0.750 0.272 0.746
Se 0.250 0.231 0.514
Se 0.750 0.772 0.754
Se 0.250 0.527 0.616
Pr 0.750 0.879 0.927
Pr 0.250 0.121 0.073
Pr 0.750 0.367 0.205
Mg 0.750 0.106 0.466
Pr 0.250 0.133 0.705
Se 0.250 0.002 0.385
Se 0.250 0.228 0.246
Pr 0.750 0.867 0.295
Pr 0.250 0.633 0.795
Se 0.750 0.473 0.384
Se 0.750 0.769 0.486